# 1
This record from OQMD via LeMat-Bulk describes crystalline LaCuGe2Pd at its relaxed geometry. The functional is PBE-GGA.

Geometry as POSCAR:
```
LaCuGe2Pd
1.0
-2.133 2.133 5.233
2.133 -2.133 5.233
2.133 2.133 -5.233
La Cu Ge Pd
1 1 2 1
Direct
0.000 0.000 0.000
0.250 0.750 0.500
0.379 0.379 0.000
0.621 0.621 0.000
0.750 0.250 0.500
```

E in eV per cell: -26.607
Energy above the most stable polymorph in this dataset in eV per atom: 0.0000
Volume in Å³/f.u.: 95.2

---

# 2
This record from OQMD via LeMat-Bulk describes crystalline LaCuGePd at its relaxed geometry. The functional is PBE-GGA.

Geometry as POSCAR:
```
LaCuGePd
1.0
0.000 3.392 3.392
3.392 0.000 3.392
3.392 3.392 0.000
La Cu Ge Pd
1 1 1 1
Direct
0.000 0.000 0.000
0.750 0.750 0.750
0.500 0.500 0.500
0.250 0.250 0.250
```

E in eV per cell: -20.237
Energy above the most stable polymorph in this dataset in eV per atom: 0.0000
Volume in Å³/f.u.: 78.0

---

# 3
This record from OQMD via LeMat-Bulk describes crystalline LaCuGePd at its relaxed geometry. The functional is PBE-GGA.

Geometry as POSCAR:
```
LaCuGePd
1.0
0.000 3.388 3.388
3.388 0.000 3.388
3.388 3.388 0.000
La Cu Ge Pd
1 1 1 1
Direct
0.000 0.000 0.000
0.750 0.750 0.750
0.250 0.250 0.250
0.500 0.500 0.500
```

E in eV per cell: -20.108
Energy above the most stable polymorph in this dataset in eV per atom: 0.0323
Volume in Å³/f.u.: 77.8

---

# 4
This record from OQMD via LeMat-Bulk describes crystalline LaCuGe2Pd at its relaxed geometry. The functional is PBE-GGA.

Geometry as POSCAR:
```
LaCuGe2Pd
1.0
4.312 0.000 0.000
0.000 4.312 0.000
0.000 0.000 10.336
La Cu Ge Pd
2 2 4 2
Direct
0.250 0.250 0.242
0.750 0.750 0.758
0.250 0.750 0.000
0.750 0.250 0.000
0.250 0.250 0.875
0.250 0.750 0.500
0.750 0.250 0.500
0.750 0.750 0.125
0.250 0.250 0.632
0.750 0.750 0.368
```

E in eV per cell: -53.117
Energy above the most stable polymorph in this dataset in eV per atom: 0.0097
Volume in Å³/f.u.: 96.1

---

# 5
This record from OQMD via LeMat-Bulk describes crystalline La2CuGe4Pd at its relaxed geometry. The functional is PBE-GGA.

Geometry as POSCAR:
```
La2CuGe4Pd
1.0
4.369 0.000 0.000
0.000 2.213 8.674
0.000 -2.213 8.674
La Cu Ge Pd
2 1 4 1
Direct
0.000 0.000 0.000
0.500 0.214 0.214
0.000 0.782 0.782
0.000 0.351 0.351
0.000 0.644 0.644
0.500 0.568 0.568
0.500 0.853 0.853
0.500 0.424 0.424
```

E in eV per cell: -43.156
Volume in Å³/f.u.: 167.7

---

# 6
This record from OQMD via LeMat-Bulk describes crystalline LaPr2Cu2Ge4Pd2 at its relaxed geometry. The functional is PBE-GGA.

Geometry as POSCAR:
```
LaPr2Cu2Ge4Pd2
1.0
-2.092 2.181 12.518
2.092 -2.181 12.518
2.092 2.181 -12.518
La Pr Cu Ge Pd
1 2 2 4 2
Direct
0.000 0.000 0.000
0.348 0.848 0.500
0.652 0.152 0.500
0.250 0.250 0.000
0.750 0.750 0.000
0.198 0.698 0.500
0.449 0.449 0.000
0.551 0.551 0.000
0.802 0.302 0.500
0.098 0.598 0.500
0.902 0.402 0.500
```

E in eV per cell: -59.039
Volume in Å³/f.u.: 228.5

---

# 7
This record from OQMD via LeMat-Bulk describes crystalline La2PrCu2Si2Ge2Pd2 at its relaxed geometry. The functional is PBE-GGA.

Geometry as POSCAR:
```
La2PrCu2Si2Ge2Pd2
1.0
-2.113 2.166 12.254
2.113 -2.166 12.254
2.113 2.166 -12.254
La Pr Cu Si Ge Pd
2 1 2 2 2 2
Direct
0.146 0.146 0.000
0.854 0.854 0.000
0.000 0.500 0.500
0.407 0.407 0.000
0.593 0.593 0.000
0.451 0.951 0.500
0.549 0.049 0.500
0.307 0.307 0.000
0.693 0.693 0.000
0.249 0.749 0.500
0.751 0.251 0.500
```

E in eV per cell: -60.548
Energy above the most stable polymorph in this dataset in eV per atom: 0.0395
Volume in Å³/f.u.: 224.3

---

# 8
This record from OQMD via LeMat-Bulk describes crystalline La2PrCu2Si2Ge2Pd2 at its relaxed geometry. The functional is PBE-GGA.

Geometry as POSCAR:
```
La2PrCu2Si2Ge2Pd2
1.0
-2.127 2.144 12.267
2.127 -2.144 12.267
2.127 2.144 -12.267
La Pr Cu Si Ge Pd
2 1 2 2 2 2
Direct
0.149 0.149 0.000
0.851 0.851 0.000
0.000 0.500 0.500
0.401 0.401 0.000
0.599 0.599 0.000
0.303 0.303 0.000
0.697 0.697 0.000
0.449 0.949 0.500
0.551 0.051 0.500
0.249 0.749 0.500
0.751 0.251 0.500
```

E in eV per cell: -60.983
Energy above the most stable polymorph in this dataset in eV per atom: 0.0000
Volume in Å³/f.u.: 223.8

---

E of number 2 (LaCuGePd)?
-20.237 eV per cell